Record 1
# AlTlGa2Fe (PBE, relaxed)
# Spin magnetization (μB per atom): 0.5408
# DFT total energy (eV/atom): -2.99
# Volume (Å³/atom): 28.33
# ΔH_f (0 K) (eV/atom): 1.1314
data_AlTlGa2Fe
_chemical_formula_sum 'Al1 Tl1 Ga2 Fe1'
_symmetry_space_group_name_H-M 'P 4/m m m'
_symmetry_Int_Tables_number 123
_symmetry_space_group_name_Hall '-P 4 2'
_cell_length_a 5.2897
_cell_length_b 5.2897
_cell_length_c 5.0624
_cell_angle_alpha 90.00
_cell_angle_beta 90.00
_cell_angle_gamma 90.00
loop_
_atom_site_label
_atom_site_type_symbol
_atom_site_fract_x
_atom_site_fract_y
_atom_site_fract_z
Al1 Al 0.0000 0.0000 0.0000
Tl1 Tl 0.5000 0.5000 0.5000
Ga1 Ga 0.0000 0.5000 0.5000
Fe1 Fe 0.5000 0.5000 0.0000


Record 2
# SbTeOs2 (PBE, relaxed)
# Spin magnetization (μB per atom): 0.0000
# DFT total energy (eV/atom): -6.57
# Formation energy from raw total energies (kcal/mol of atoms): 19.768
# Volume (Å³/atom): 25.74
# Excess energy over the best structure of this formula in the dataset (meV per atom): 465.1
data_SbTeOs2
_chemical_formula_sum 'Sb4 Te4 Os8'
_symmetry_space_group_name_H-M 'I -4 2 d'
_symmetry_Int_Tables_number 122
_symmetry_space_group_name_Hall 'I -4 2bw'
_cell_length_a 5.9116
_cell_length_b 5.9116
_cell_length_c 11.7837
_cell_angle_alpha 90.00
_cell_angle_beta 90.00
_cell_angle_gamma 90.00
loop_
_atom_site_label
_atom_site_type_symbol
_atom_site_fract_x
_atom_site_fract_y
_atom_site_fract_z
Sb1 Sb 0.0000 0.0000 0.0000
Te1 Te 0.0000 0.0000 0.5000
Os1 Os 0.2457 0.2500 0.6250